# Er2BiSe

Er2BiSe after structural relaxation (PBE, Alexandria via LeMat-Bulk).

abc: 7.6355 7.6355 7.6355
angles: 31.71 31.71 31.71
Closest atoms and distances in Å follow each position.
Fractional coordinates of all 4 atoms:
Er  0.0000  0.0000  0.0000  3 Se 2.95, 3 Bi 3.13
Er  0.1832  0.1832  0.1832  3 Se 2.87, 3 Bi 3.12
Bi  0.7585  0.7585  0.7585  6 Er 3.12-3.13
Se  0.5882  0.5882  0.5882  6 Er 2.87-2.95

- Total DFT energy (no corrections): -5.31 eV per atom
- Energy above the most stable polymorph in this dataset: 0.045 eV per atom
- Formation energy from raw total energies: -1.183 eV/atom